1.
Material: Cs2CaAu
Method: DFT, GGA-PBEsol
State: optimized geometry

Lattice parameters (Å, degrees): 6.4312 6.4312 6.4312 60.00 60.00 60.00
With the nearest neighbours (Å) after each atom.
Sites, in units of the cell vectors:
1 Cs 0.2500 0.2500 0.2500  4 Ca 3.94, 4 Au 3.94
2 Cs 0.7500 0.7500 0.7500  4 Ca 3.94, 4 Au 3.94
3 Ca 0.0000 0.0000 0.0000  8 Cs 3.94
4 Au 0.5000 0.5000 0.5000  8 Cs 3.94

Results
Energy of formation: 1.1 eV per formula unit
Space group: Fm-3m, No. 225
D(E_F): 3.9 states/eV/f.u.
E: -1.701 eV per atom



2.
Material: Ca3CuAu
Method: DFT, GGA-PBEsol
State: optimized geometry

Lattice parameters (Å, degrees): 5.5332 5.5332 5.5332 90.00 90.00 90.00
With the nearest neighbours (Å) after each atom.
Sites, in units of the cell vectors:
1 Ca 0.0000 0.0000 0.5000  2 Au 2.77
2 Ca 0.0000 0.5000 0.0000  2 Au 2.77
3 Ca 0.5000 0.0000 0.0000  2 Au 2.77
4 Cu 0.5000 0.5000 0.5000  12 Ca 3.91
5 Au 0.0000 0.0000 0.0000  6 Ca 2.77

Results
Energy of formation: 0.2 eV per formula unit
Space group: Pm-3m, No. 221
D(E_F): 2.4 states/eV/f.u.
E: -2.888 eV per atom



3.
Material: CaCu2Au2
Method: DFT, GGA-PBEsol
State: optimized geometry

Lattice parameters (Å, degrees): 6.7813 6.7813 6.7813 147.43 147.43 46.73
With the nearest neighbours (Å) after each atom.
Sites, in units of the cell vectors:
1 Ca 0.0000 0.0000 0.0000  8 Au 3.02
2 Cu 0.2500 0.7500 0.5000  4 Au 2.58, 4 Cu 2.69
3 Cu 0.7500 0.2500 0.5000  4 Au 2.58, 4 Cu 2.69
4 Au 0.3904 0.3904 0.0000  4 Cu 2.58, 1 Au 2.73
5 Au 0.6096 0.6096 0.0000  4 Cu 2.58, 1 Au 2.73

Results
E above lowest polymorph: 0.000 eV per formula unit
Energy of formation: -1.4 eV per formula unit
Space group: I4/mmm, No. 139
D(E_F): 2.0 states/eV/f.u.
E: -4.012 eV per atom



4.
Material: Ca3AuF
Method: DFT, GGA-PBEsol
State: optimized geometry

Lattice parameters (Å, degrees): 5.6001 5.6001 5.6001 90.00 90.00 90.00
With the nearest neighbours (Å) after each atom.
Sites, in units of the cell vectors:
1 Ca 0.0000 0.0000 0.5000  2 Au 2.80
2 Ca 0.0000 0.5000 0.0000  2 Au 2.80
3 Ca 0.5000 0.0000 0.0000  2 Au 2.80
4 Au 0.0000 0.0000 0.0000  6 Ca 2.80
5 F 0.5000 0.5000 0.5000  12 Ca 3.96

Results
Space group: Pm-3m, No. 221
D(E_F): 2.5 states/eV/f.u.
E: -3.159 eV per atom



5.
Material: CaAuNF2
Method: DFT, GGA-PBEsol
State: optimized geometry

Lattice parameters (Å, degrees): 4.0639 4.0639 4.6199 90.00 90.00 90.00
With the nearest neighbours (Å) after each atom.
Sites, in units of the cell vectors:
1 Ca 0.0000 0.0000 0.0000  2 N 2.31
2 Au 0.5000 0.5000 0.0000  4 Ca 2.87, 8 F 3.08
3 N 0.0000 0.0000 0.5000  4 F 2.03
4 F 0.0000 0.5000 0.5000  2 N 2.03
5 F 0.5000 0.0000 0.5000  2 N 2.03

Results
Space group: P4/mmm, No. 123
D(E_F): 4.0 states/eV/f.u.
E: -3.734 eV per atom



6.
Material: CaFeAu2
Method: DFT, GGA-PBEsol
State: optimized geometry

Lattice parameters (Å, degrees): 9.2908 9.2908 9.2908 18.68 18.68 18.68
With the nearest neighbours (Å) after each atom.
Sites, in units of the cell vectors:
1 Ca 0.0000 0.0000 0.0000  3 Fe 2.93, 3 Au 3.00, 6 Ca 3.02
2 Fe 0.7528 0.7528 0.7528  3 Au 2.64, 3 Ca 2.93
3 Au 0.2441 0.2441 0.2441  9 Au 2.91-3.02, 3 Ca 3.00
4 Au 0.4921 0.4921 0.4921  3 Fe 2.64, 3 Au 2.91

Results
Energy of formation: 1.3 eV per formula unit
Space group: R3m, No. 160
D(E_F): 2.7 states/eV/f.u.
E: -4.421 eV per atom



7.
Material: Ca3FeAu
Method: DFT, GGA-PBEsol
State: optimized geometry

Lattice parameters (Å, degrees): 5.5186 5.5186 5.5186 90.00 90.00 90.00
With the nearest neighbours (Å) after each atom.
Sites, in units of the cell vectors:
1 Ca 0.0000 0.0000 0.5000  2 Au 2.76
2 Ca 0.0000 0.5000 0.0000  2 Au 2.76
3 Ca 0.5000 0.0000 0.0000  2 Au 2.76
4 Fe 0.5000 0.5000 0.5000  12 Ca 3.90
5 Au 0.0000 0.0000 0.0000  6 Ca 2.76

Results
Energy of formation: 2.0 eV per formula unit
Space group: Pm-3m, No. 221
D(E_F): 10.4 states/eV/f.u.
E: -3.462 eV per atom



8.
Material: CaFeAu
Method: DFT, GGA-PBEsol
State: optimized geometry

Lattice parameters (Å, degrees): 4.6148 4.6148 4.6148 60.00 60.00 60.00
With the nearest neighbours (Å) after each atom.
Sites, in units of the cell vectors:
1 Ca 0.0000 0.0000 0.0000  4 Fe 2.83, 4 Au 2.83
2 Fe 0.2500 0.2500 0.2500  4 Ca 2.83
3 Au 0.7500 0.7500 0.7500  4 Ca 2.83

Results
Energy of formation: 2.5 eV per formula unit
Space group: F-43m, No. 216
D(E_F): 5.8 states/eV/f.u.
E: -4.188 eV per atom



9.
Material: CaFe2Au
Method: DFT, GGA-PBEsol
State: optimized geometry

Lattice parameters (Å, degrees): 3.9239 3.9239 4.1633 90.00 90.00 90.00
With the nearest neighbours (Å) after each atom.
Sites, in units of the cell vectors:
1 Ca 0.0000 0.0000 0.0000  4 Au 2.77, 8 Fe 2.86
2 Fe 0.0000 0.5000 0.5000  4 Fe 2.77, 4 Ca 2.86, 4 Au 2.86
3 Fe 0.5000 0.0000 0.5000  4 Fe 2.77, 4 Ca 2.86, 4 Au 2.86
4 Au 0.5000 0.5000 0.0000  4 Ca 2.77, 8 Fe 2.86

Results
Energy of formation: 1.3 eV per formula unit
Space group: P4/mmm, No. 123
D(E_F): 4.2 states/eV/f.u.
E: -5.667 eV per atom



10.
Material: CaFeAu3
Method: DFT, GGA-PBEsol
State: optimized geometry

Lattice parameters (Å, degrees): 5.1194 5.1194 5.1194 90.00 90.00 90.00
With the nearest neighbours (Å) after each atom.
Sites, in units of the cell vectors:
1 Ca 0.0000 0.0000 0.0000  6 Au 2.56
2 Fe 0.5000 0.5000 0.5000  12 Au 3.62
3 Au 0.0000 0.0000 0.5000  2 Ca 2.56
4 Au 0.0000 0.5000 0.0000  2 Ca 2.56
5 Au 0.5000 0.0000 0.0000  2 Ca 2.56

Results
Energy of formation: 6.5 eV per formula unit
Space group: Pm-3m, No. 221
D(E_F): 8.1 states/eV/f.u.
E: -3.281 eV per atom



11.
Material: Ca2FeAu
Method: DFT, GGA-PBEsol
State: optimized geometry

Lattice parameters (Å, degrees): 5.0372 5.0372 3.4390 90.00 90.00 90.25
With the nearest neighbours (Å) after each atom.
Sites, in units of the cell vectors:
1 Ca 0.0000 0.5000 0.0000  4 Fe 3.05, 4 Au 3.05
2 Ca 0.5000 0.0000 0.0000  4 Fe 3.05, 4 Au 3.05
3 Fe 0.0000 0.0000 0.5000  8 Ca 3.05
4 Au 0.5000 0.5000 0.5000  8 Ca 3.05

Results
Energy of formation: 0.2 eV per formula unit
Space group: Cmmm, No. 65
D(E_F): 7.2 states/eV/f.u.
E: -4.238 eV per atom



12.
Material: CaFeAu
Method: DFT, GGA-PBEsol
State: optimized geometry

Lattice parameters (Å, degrees): 5.7643 5.7643 5.7643 146.28 146.28 48.43
With the nearest neighbours (Å) after each atom.
Sites, in units of the cell vectors:
1 Ca 0.0000 0.0000 0.0000  5 Au 3.14-3.19, 5 Fe 3.16, 4 Ca 3.34
2 Fe 0.6991 0.6991 0.0000  4 Au 2.60
3 Au 0.3031 0.3031 0.0000  4 Fe 2.60

Results
Energy of formation: 0.3 eV per formula unit
Space group: I4mm, No. 107
D(E_F): 3.7 states/eV/f.u.
E: -4.902 eV per atom



Q: Which formula does entry 10 have?
A: CaFeAu3



Q: What is the formula in the tenth record?
A: CaFeAu3



Q: Look up the D(E_F) of the eighth one.
A: 5.8 states/eV/f.u.